! LiCuOs2 (PBE, relaxed); values from VASP
! Magnetic moment, μB per formula unit: 0.000
! Calculated total energy, eV/atom: -6.64
! Excess energy over the best structure of this formula in the dataset, eV per atom: 0.2834
! Calculated formation energy, eV/atom: 0.475
! Crystal system: tetragonal
! D(E_F), states/eV/atom: 1.141
&SYSTEM
  ibrav = 0, nat = 4, ntyp = 3
/
ATOMIC_SPECIES
Li 6.94 Li.upf
Cu 63.55 Cu.upf
Os 190.23 Os.upf
ATOMIC_POSITIONS angstrom
Li 0.0000 0.0000 0.0000
Cu 0.0000 0.0000 4.1278
Os 1.8057 0.0000 2.0639
Os 0.0000 1.8057 2.0639
CELL_PARAMETERS angstrom
-1.8057 1.8057 4.1278
1.8057 -1.8057 4.1278
1.8057 1.8057 -4.1278

---

! Be2Se (PBE, relaxed); values from VASP
! Magnetic moment, μB per formula unit: 0.000
! Calculated total energy, eV/atom: -3.86
! Excess energy over the best structure of this formula in the dataset, eV per atom: 0.0785
! Formation energy without anion corrections, eV/atom: -0.2112
! Crystal system: monoclinic
! D(E_F), states/eV/atom: 0.120
&SYSTEM
  ibrav = 0, nat = 6, ntyp = 2
/
ATOMIC_SPECIES
Be 9.01 Be.upf
Se 78.96 Se.upf
ATOMIC_POSITIONS angstrom
Be 0.0000 0.0000 0.0000
Be -0.3321 0.0000 7.9492
Be 1.8488 0.0000 5.9095
Be 3.8529 0.0000 7.0155
Se 2.0436 0.0000 0.9179
Se 3.8868 0.0000 4.8888
CELL_PARAMETERS angstrom
3.0920 -1.7419 0.0000
3.0920 1.7419 0.0000
-2.3530 0.0000 9.2037

---

! FePOs2Au (PBE, relaxed); values from VASP
! Magnetic moment, μB per formula unit: 3.190
! Calculated total energy, eV/atom: -7.72
! Excess energy over the best structure of this formula in the dataset, eV per atom: 0.1218
! Calculated formation energy, eV/atom: 0.201
! Crystal system: orthorhombic
! D(E_F), states/eV/atom: 0.672
&SYSTEM
  ibrav = 0, nat = 5, ntyp = 4
/
ATOMIC_SPECIES
Fe 55.84 Fe.upf
P 30.97 P.upf
Os 190.23 Os.upf
Au 196.97 Au.upf
ATOMIC_POSITIONS angstrom
Fe 0.0000 0.0000 0.0000
P 0.0000 1.4970 5.1573
Os 1.4884 0.0000 4.1269
Os 1.4884 1.4970 6.9908
Au 1.4884 1.4970 1.7402
CELL_PARAMETERS angstrom
2.9769 0.0000 0.0000
0.0000 2.9940 0.0000
0.0000 0.0000 8.4599

---

! Co6Ni2Pt (PBE, relaxed); values from VASP
! Magnetic moment, μB per formula unit: 12.013
! Calculated total energy, eV/atom: -6.58
! Excess energy over the best structure of this formula in the dataset, eV per atom: 0.0701
! Calculated formation energy, eV/atom: 0.117
! Crystal system: monoclinic
! D(E_F), states/eV/atom: 1.045
&SYSTEM
  ibrav = 0, nat = 9, ntyp = 3
/
ATOMIC_SPECIES
Co 58.93 Co.upf
Ni 58.69 Ni.upf
Pt 195.08 Pt.upf
ATOMIC_POSITIONS angstrom
Co 1.4078 1.3785 4.7667
Co 1.9152 0.0000 0.1386
Co 3.5942 1.3785 1.1759
Co 1.4078 -1.3785 4.7667
Co 3.0868 0.0000 5.8040
Co 3.5942 -1.3785 1.1759
Ni -0.0922 0.0000 3.5389
Ni 5.0942 0.0000 2.4037
Pt 2.5010 0.0000 2.9713
CELL_PARAMETERS angstrom
3.5877 -2.5120 0.0000
3.5877 2.5120 0.0000
-2.1734 0.0000 5.9426

---

! Ce2MgZn3Ga4 (PBE, relaxed); values from VASP
! Magnetic moment, μB per formula unit: 1.435
! Calculated total energy, eV/atom: -3.34
! Calculated formation energy, eV/atom: -0.402
! Crystal system: tetragonal
! D(E_F), states/eV/atom: 1.390
&SYSTEM
  ibrav = 0, nat = 10, ntyp = 4
/
ATOMIC_SPECIES
Ce 140.12 Ce.upf
Mg 24.30 Mg.upf
Zn 65.41 Zn.upf
Ga 69.72 Ga.upf
ATOMIC_POSITIONS angstrom
Ce 0.0000 2.1352 2.6186
Ce 2.1352 0.0000 8.2493
Mg 0.0000 0.0000 5.4339
Zn 0.0000 2.1352 9.4452
Zn 2.1352 0.0000 1.4227
Zn 2.1352 2.1352 5.4339
Ga 0.0000 0.0000 0.0000
Ga 0.0000 2.1352 7.0145
Ga 2.1352 0.0000 3.8534
Ga 2.1352 2.1352 0.0000
CELL_PARAMETERS angstrom
4.2705 0.0000 0.0000
0.0000 4.2705 0.0000
0.0000 0.0000 10.8679

---

! Tm2Fe17B3 (PBE, relaxed); values from VASP
! Magnetic moment, μB per formula unit: 34.406
! Calculated total energy, eV/atom: -7.95
! Calculated formation energy, eV/atom: -0.094
! Crystal system: trigonal
! D(E_F), states/eV/atom: 0.714
&SYSTEM
  ibrav = 0, nat = 22, ntyp = 3
/
ATOMIC_SPECIES
Tm 168.93 Tm.upf
Fe 55.84 Fe.upf
B 10.81 B.upf
ATOMIC_POSITIONS angstrom
Tm 0.0000 0.0000 1.9643
Tm 0.0000 0.0000 10.5214
Fe -2.1641 -1.2494 4.1619
Fe 0.0000 -2.4573 4.0436
Fe -2.1281 1.2286 4.0436
Fe -1.2069 -2.0904 6.2428
Fe -2.4137 0.0000 6.2428
Fe -2.1281 -1.2286 8.4421
Fe 0.0000 0.0000 5.0355
Fe -2.1641 1.2494 8.3238
Fe 1.2069 -2.0904 6.2428
Fe 0.0000 2.4988 4.1619
Fe -1.2069 2.0904 6.2428
Fe 0.0000 0.0000 7.4501
Fe 2.1281 1.2286 4.0436
Fe 2.4137 0.0000 6.2428
Fe 1.2069 2.0904 6.2428
Fe 2.1281 -1.2286 8.4421
Fe 0.0000 2.4573 8.4421
B -4.3281 0.0000 6.2428
B -2.1641 1.2494 2.0809
B 2.1641 1.2494 2.0809
CELL_PARAMETERS angstrom
4.3281 2.4988 4.1619
-4.3281 2.4988 4.1619
0.0000 -4.9977 4.1619

---

! TaC2N (PBE, relaxed); values from VASP
! Magnetic moment, μB per formula unit: 0.000
! Calculated total energy, eV/atom: -8.50
! Formation energy without anion corrections, eV/atom: 1.1585
! Crystal system: tetragonal
! D(E_F), states/eV/atom: 0.312
&SYSTEM
  ibrav = 0, nat = 8, ntyp = 3
/
ATOMIC_SPECIES
Ta 180.95 Ta.upf
C 12.01 C.upf
N 14.01 N.upf
ATOMIC_POSITIONS angstrom
Ta 0.0000 0.0000 0.0000
Ta 0.0000 2.4073 1.5545
C 1.2037 -0.6889 2.3318
C 1.7185 1.2037 0.7773
C 1.2037 3.0962 -0.7773
C 0.6889 1.2037 3.8863
N 2.4073 0.0000 1.5545
N 0.0000 0.0000 3.1090
CELL_PARAMETERS angstrom
-2.4073 2.4073 3.1090
2.4073 -2.4073 3.1090
2.4073 2.4073 -3.1090

---

! UBeTc (PBE, relaxed); values from VASP
! Magnetic moment, μB per formula unit: 0.002
! Calculated total energy, eV/atom: -8.40
! Calculated formation energy, eV/atom: 0.061
! Crystal system: trigonal
! D(E_F), states/eV/atom: 1.507
&SYSTEM
  ibrav = 0, nat = 9, ntyp = 3
/
ATOMIC_SPECIES
U 238.03 U.upf
Be 9.01 Be.upf
Tc 98.00 Tc.upf
ATOMIC_POSITIONS angstrom
U -0.9227 2.3812 0.0000
U -0.1192 4.1858 1.9317
U 1.0419 2.5876 3.8635
Be -0.2682 0.5678 2.4147
Be -2.0169 4.5257 4.3465
Be 2.2851 4.0612 0.4830
Tc 1.4385 1.3994 0.6030
Tc 3.3543 0.5461 4.4665
Tc 3.1354 2.6319 2.5347
CELL_PARAMETERS angstrom
5.2854 0.0000 0.0000
-2.6427 4.5773 0.0000
0.0000 0.0000 5.7952